1.
# HfInHg PBE-GGA optimized geometry
data_HfInHg
_cell_length_a 4.942
_cell_length_b 4.942
_cell_length_c 6.112
_cell_angle_alpha 90.00
_cell_angle_beta 90.00
_cell_angle_gamma 116.36
_space_group_name_H-M_alt 'P 1'
_space_group_IT_number 1
loop_
_space_group_symop_operation_xyz
'x,y,z'
loop_
_atom_site_label
_atom_site_type_symbol
_atom_site_fract_x
_atom_site_fract_y
_atom_site_fract_z
Hf1 Hf 0.330 0.670 0.750
Hf2 Hf 0.670 0.330 0.250
In1 In 0.000 0.000 0.000
In2 In 0.000 0.000 0.500
Hg1 Hg 0.328 0.672 0.250
Hg2 Hg 0.672 0.328 0.750
# Calculated volume in Å³/atom: 22.30
# Energy above the most stable polymorph in this dataset in eV/f.u.: 0.388
# Spin magnetization in μB per cell: 0.00
# Calculated total energy in eV for the cell shown: -25.213

***

2.
# SrCoSe PBE-GGA optimized geometry
data_SrCoSe
_cell_length_a 4.088
_cell_length_b 4.088
_cell_length_c 4.468
_cell_angle_alpha 90.00
_cell_angle_beta 90.00
_cell_angle_gamma 120.00
_space_group_name_H-M_alt 'P 1'
_space_group_IT_number 1
loop_
_space_group_symop_operation_xyz
'x,y,z'
loop_
_atom_site_label
_atom_site_type_symbol
_atom_site_fract_x
_atom_site_fract_y
_atom_site_fract_z
Co1 Co 0.000 0.000 0.167
Se1 Se 0.667 0.333 0.167
Sr1 Sr 0.333 0.667 0.667
# Calculated volume in Å³/atom: 21.55
# Energy above the most stable polymorph in this dataset in eV/f.u.: 0.000
# Energy relative to the elements, uncorrected in meV per atom: -725
# Spin magnetization in μB per cell: 0.67
# Calculated total energy in eV for the cell shown: -14.446

***

Asked for density across the records above, the calculation gives 12.3 5.8 g/cm3 in order.